The following is a DFT calculation (PBE) of an optimized crystal structure of Ti6Al3Pd.

```
data_Ti6Al3Pd
_space_group_name_H-M_alt 'P 1 21/m 1'
_space_group_IT_number 11
_space_group_name_Hall '-P 2yb'
_cell_length_a 7.6075
_cell_length_b 4.6456
_cell_length_c 9.6739
_cell_angle_alpha 90.00
_cell_angle_beta 108.16
_cell_angle_gamma 90.00
loop_
_atom_site_label
_atom_site_type_symbol
_atom_site_fract_x
_atom_site_fract_y
_atom_site_fract_z
_atom_site_occupancy
Ti1 Ti 0.0080 0.2500 0.3445 1
Ti2 Ti 0.0147 0.7500 0.1705 1
Ti3 Ti 0.1937 0.7500 0.9537 1
Ti4 Ti 0.1947 0.2500 0.6370 1
Ti5 Ti 0.3942 0.2500 0.4312 1
Ti6 Ti 0.3974 0.7500 0.7737 1
Al1 Al 0.2049 0.2500 0.1300 1
Al2 Al 0.2064 0.7500 0.4703 1
Al3 Al 0.4044 0.7500 0.2564 1
Pd1 Pd 0.3970 0.2500 0.9365 1
```

Summary:
Raw total energy ... -6.734 eV per atom
Density of states at the Fermi level ... 10.0 states/eV/f.u.
DFT formation energy ... -0.355 eV per atom

The following is a DFT calculation (PBE) of an optimized crystal structure of Tm2BeSi.

```
data_Tm2BeSi
_space_group_name_H-M_alt 'A m m 2'
_space_group_IT_number 38
_space_group_name_Hall 'A 2 -2'
_cell_length_a 3.8310
_cell_length_b 4.0943
_cell_length_c 10.4205
_cell_angle_alpha 90.00
_cell_angle_beta 90.00
_cell_angle_gamma 90.00
loop_
_atom_site_label
_atom_site_type_symbol
_atom_site_fract_x
_atom_site_fract_y
_atom_site_fract_z
_atom_site_occupancy
Tm1 Tm 0.0000 0.0000 0.0000 1
Tm2 Tm 0.5000 0.0000 0.2848 1
Be1 Be 0.5000 0.0000 0.5815 1
Si1 Si 0.0000 0.0000 0.7056 1
```

Summary:
Raw total energy ... -4.992 eV per atom
Offset from the most stable computed form ... 0.000 eV per atom
Density of states at the Fermi level ... 3.4 states/eV/f.u.
Formation energy (no corrections) ... -0.469 eV/atom

The following is a DFT calculation (PBE) of an optimized crystal structure of Ti2SiOs2.

```
data_Ti2SiOs2
_space_group_name_H-M_alt 'P 4/m b m'
_space_group_IT_number 127
_space_group_name_Hall '-P 4 2ab'
_cell_length_a 7.0947
_cell_length_b 7.0947
_cell_length_c 3.0995
_cell_angle_alpha 90.00
_cell_angle_beta 90.00
_cell_angle_gamma 90.00
loop_
_atom_site_label
_atom_site_type_symbol
_atom_site_fract_x
_atom_site_fract_y
_atom_site_fract_z
_atom_site_occupancy
Ti1 Ti 0.1595 0.3405 0.0000 1
Si1 Si 0.0000 0.0000 0.5000 1
Os1 Os 0.1427 0.6427 0.5000 1
```

Summary:
Raw total energy ... -8.869 eV per atom
Density of states at the Fermi level ... 4.9 states/eV/f.u.
Formation energy (no corrections) ... -0.135 eV/atom

The following is a DFT calculation (PBE) of an optimized crystal structure of LiBSbO3.

```
data_LiBSbO3
_space_group_name_H-M_alt 'P -1'
_space_group_IT_number 2
_space_group_name_Hall '-P 1'
_cell_length_a 5.1317
_cell_length_b 5.7001
_cell_length_c 6.4731
_cell_angle_alpha 93.72
_cell_angle_beta 98.77
_cell_angle_gamma 116.08
loop_
_atom_site_label
_atom_site_type_symbol
_atom_site_fract_x
_atom_site_fract_y
_atom_site_fract_z
_atom_site_occupancy
Li1 Li 0.1329 0.4047 0.1519 1
B1 B 0.1546 0.1823 0.7672 1
Sb1 Sb 0.4771 0.0142 0.2698 1
O1 O 0.0174 0.6976 0.1875 1
O2 O 0.0403 0.9110 0.7226 1
O3 O 0.4587 0.3219 0.7759 1
```

Summary:
Raw total energy ... -6.470 eV per atom
Formation energy (no corrections) ... -1.872 eV/atom

The following is a DFT calculation (PBE) of an optimized crystal structure of MgCdCl2.

```
data_MgCdCl2
_space_group_name_H-M_alt 'P 4 m m'
_space_group_IT_number 99
_space_group_name_Hall 'P 4 -2'
_cell_length_a 3.3344
_cell_length_b 3.3344
_cell_length_c 8.3767
_cell_angle_alpha 90.00
_cell_angle_beta 90.00
_cell_angle_gamma 90.00
loop_
_atom_site_label
_atom_site_type_symbol
_atom_site_fract_x
_atom_site_fract_y
_atom_site_fract_z
_atom_site_occupancy
Mg1 Mg 0.0000 0.0000 0.0000 1
Cd1 Cd 0.5000 0.5000 0.2788 1
Cl1 Cl 0.0000 0.0000 0.4685 1
Cl2 Cl 0.5000 0.5000 0.8457 1
```

Summary:
Raw total energy ... -2.368 eV per atom
Offset from the most stable computed form ... 0.449 eV per atom
Density of states at the Fermi level ... 1.1 states/eV/f.u.
Formation energy (no corrections) ... -0.817 eV/atom

The following is a DFT calculation (PBE) of an optimized crystal structure of U3Be5O12.

```
data_U3Be5O12
_space_group_name_H-M_alt 'I a -3 d'
_space_group_IT_number 230
_space_group_name_Hall '-I 4bd 2c 3'
_cell_length_a 11.6214
_cell_length_b 11.6214
_cell_length_c 11.6214
_cell_angle_alpha 90.00
_cell_angle_beta 90.00
_cell_angle_gamma 90.00
loop_
_atom_site_label
_atom_site_type_symbol
_atom_site_fract_x
_atom_site_fract_y
_atom_site_fract_z
_atom_site_occupancy
U1 U 0.0000 0.2500 0.1250 1
Be1 Be 0.0000 0.0000 0.0000 1
Be2 Be 0.0000 0.2500 0.3750 1
O1 O 0.0325 0.0516 0.6520 1
```

Summary:
Raw total energy ... -8.357 eV per atom
Density of states at the Fermi level ... 14.7 states/eV/f.u.
Formation energy (no corrections) ... -2.757 eV/atom